Tc2IrW | PBE | optimized geometry

Geometry as POSCAR:
```
Tc2IrW
1.0
-8.121 -2.833 -3.531
-8.309 -4.033 -1.061
-9.085 -1.412 -1.380
Ir Tc W
1 2 1
Direct
0.750 0.750 0.750
0.002 0.002 0.002
0.498 0.498 0.498
0.250 0.250 0.250
```

Computed properties:
Its formation energy is 0.072 eV/atom. Its space group is R-3m. Its energy relative to the lowest polymorph listed for this composition is 194 meV per atom. As for the volume: 60 Å³ per cell. The density of states at the Fermi level is 0.9814 states/eV/atom. The spin magnetization is 0.000 μB per atom. For the total energy, the calculation gives -42.3 eV for the cell shown.


NiMoAs2 | PBE | optimized geometry

Geometry as POSCAR:
```
NiMoAs2
1.0
-1.452 -4.163 1.724
1.577 -3.521 2.744
-1.514 1.077 3.819
As Mo Ni
2 1 1
Direct
0.004 0.004 0.073
0.756 0.756 0.663
0.480 0.480 0.579
0.260 0.260 0.184
```

Computed properties:
Its formation energy is -0.082 eV/atom. Its space group is Cm. As for the volume: 60 Å³ per cell. The density of states at the Fermi level is 0.5092 states/eV/atom. The spin magnetization is 0.000 μB per atom. For the total energy, the calculation gives -26.2 eV for the cell shown.


Rb3Pr2ThSe6 | PBE | optimized geometry

Geometry as POSCAR:
```
Rb3Pr2ThSe6
1.0
7.558 -0.001 0.000
-3.778 6.546 0.000
-1.260 -2.182 8.066
Rb Pr Th Se
3 2 1 6
Direct
0.169 0.831 0.500
0.831 0.169 0.500
0.500 0.500 0.500
0.334 0.666 0.000
0.666 0.334 0.000
0.000 0.000 0.000
0.932 0.607 0.796
0.743 0.743 0.204
0.068 0.393 0.204
0.607 0.932 0.796
0.257 0.257 0.796
0.393 0.068 0.204
```

Computed properties:
Its space group is C2/m. As for the volume: 399 Å³ per cell. The density of states at the Fermi level is 0.3989 states/eV/atom. The spin magnetization is 0.000 μB per atom. As for the uncorrected formation energy: -1.669 eV/atom. For the total energy, the calculation gives -60.8 eV for the cell shown.


TmGaO3 | PBE | optimized geometry

Geometry as POSCAR:
```
TmGaO3
1.0
3.487 0.000 0.000
0.000 5.493 -0.147
0.000 -2.778 7.487
Tm Ga O
2 2 6
Direct
0.250 0.227 0.179
0.750 0.773 0.821
0.250 0.146 0.666
0.750 0.854 0.334
0.250 0.068 0.885
0.750 0.932 0.115
0.250 0.039 0.392
0.750 0.961 0.608
0.250 0.506 0.744
0.750 0.494 0.256
```

Computed properties:
Its space group is P2_1/m. As for the volume: 142 Å³ per cell. The density of states at the Fermi level is 0.0000 states/eV/atom. The spin magnetization is 0.000 μB per atom. As for the uncorrected formation energy: -2.763 eV/atom. For the total energy, the calculation gives -72.4 eV for the cell shown.


PWAu2 | PBE | optimized geometry

Geometry as POSCAR:
```
PWAu2
1.0
-1.600 0.777 -2.482
-2.957 -3.083 0.941
-2.580 3.297 2.695
P W Au
1 1 2
Direct
0.500 0.000 0.500
0.000 0.500 0.500
0.000 0.000 0.000
0.500 0.500 0.000
```

Computed properties:
Its formation energy is 0.518 eV/atom. Its space group is Pmmm. Its energy relative to the lowest polymorph listed for this composition is 409 meV per atom. As for the volume: 67 Å³ per cell. The density of states at the Fermi level is 0.8274 states/eV/atom. The spin magnetization is 0.000 μB per atom. For the total energy, the calculation gives -22.8 eV for the cell shown.


K2SrGeF8 | PBE | optimized geometry

Geometry as POSCAR:
```
K2SrGeF8
1.0
-1.622 -4.254 -0.864
4.640 -0.541 -3.852
4.224 -2.721 5.471
K Sr Ge F
2 1 1 8
Direct
0.500 0.500 0.765
0.500 0.500 0.235
0.000 0.000 0.500
0.000 0.000 0.000
0.126 0.821 0.184
0.671 0.823 0.000
0.874 0.179 0.184
0.874 0.179 0.816
0.329 0.177 0.000
0.126 0.821 0.816
0.575 0.762 0.500
0.425 0.238 0.500
```

Computed properties:
Its space group is P2/m. As for the volume: 208 Å³ per cell. The density of states at the Fermi level is 0.0000 states/eV/atom. The spin magnetization is 0.000 μB per atom. As for the uncorrected formation energy: -2.948 eV/atom. For the total energy, the calculation gives -58.8 eV for the cell shown.


KCrAgIr2 | PBE | optimized geometry

Geometry as POSCAR:
```
KCrAgIr2
1.0
-1.999 3.771 -2.614
0.471 -2.504 -3.972
-4.561 -1.943 0.685
Cr K Ir Ag
1 1 2 1
Direct
0.000 0.500 0.000
0.500 0.500 0.500
0.000 0.000 0.500
0.500 0.000 0.000
0.000 0.000 0.000
```

Computed properties:
Its formation energy is 2.052 eV/atom. Its space group is P4/mmm. As for the volume: 118 Å³ per cell. The density of states at the Fermi level is 1.7721 states/eV/atom. The spin magnetization is 0.048 μB per atom. For the total energy, the calculation gives -21.0 eV for the cell shown.


Copy entry 2 word for word.
NiMoAs2 | PBE | optimized geometry

Geometry as POSCAR:
```
NiMoAs2
1.0
-1.452 -4.163 1.724
1.577 -3.521 2.744
-1.514 1.077 3.819
As Mo Ni
2 1 1
Direct
0.004 0.004 0.073
0.756 0.756 0.663
0.480 0.480 0.579
0.260 0.260 0.184
```

Computed properties:
Its formation energy is -0.082 eV/atom. Its space group is Cm. As for the volume: 60 Å³ per cell. The density of states at the Fermi level is 0.5092 states/eV/atom. The spin magnetization is 0.000 μB per atom. For the total energy, the calculation gives -26.2 eV for the cell shown.